Computed, not measured: an optimized crystal structure of YAs2Rh3 at the GGA-PBE level of DFT.

Output
DFT formation energy	-82.7	kJ per mole of atoms
space group	C2/m, No. 12
electronic total energy	-43.0	eV per formula unit

Cell and atoms, written as POSCAR:
```
YAs2Rh3
1.0
8.1988 -1.9928 0.0000
8.1988 1.9928 0.0000
-2.9935 0.0000 9.4047
Y As Rh
3 6 9
Cartesian
0.0000 0.0000 0.0000
0.4771 0.0000 6.5471
12.9270 0.0000 2.8576
2.8083 0.0000 1.2147
4.3078 0.0000 5.1247
6.8690 0.0000 2.0584
6.5351 0.0000 7.3464
9.0962 0.0000 4.2800
10.5958 0.0000 8.1900
-0.3163 0.0000 3.0639
2.4231 0.0000 3.6866
5.1156 0.0000 0.4057
3.8208 0.0000 7.5071
6.7020 0.0000 4.7024
9.5832 0.0000 1.8977
8.2884 0.0000 8.9990
10.9810 0.0000 5.7182
13.7204 0.0000 6.3409
```



Computed, not measured: an optimized crystal structure of YAsRh at the GGA-PBE level of DFT.

Output
DFT formation energy	-61.6	kJ per mole of atoms
space group	I4mm, No. 107
electronic total energy	-20.4	eV per formula unit

Cell and atoms, written as POSCAR:
```
YAsRh
1.0
3.3586 0.0000 0.0000
0.0000 3.3586 0.0000
0.0000 0.0000 10.2636
Y As Rh
2 2 2
Cartesian
0.0000 0.0000 0.0000
1.6793 1.6793 5.1318
0.0000 0.0000 7.1845
1.6793 1.6793 2.0527
0.0000 0.0000 3.1608
1.6793 1.6793 8.2926
```



Computed, not measured: an optimized crystal structure of YAsRh2 at the GGA-PBE level of DFT.

Output
DFT formation energy	-64.7	kJ per mole of atoms
space group	Cm, No. 8
electronic total energy	-28.5	eV per formula unit

Cell and atoms, written as POSCAR:
```
YAsRh2
1.0
9.3560 0.0000 0.0000
0.0000 3.5593 0.0000
-1.6157 0.0000 4.3210
Y As Rh
2 2 4
Cartesian
0.0000 0.0000 0.0000
4.6780 1.7797 0.0000
1.2383 0.0000 2.7462
5.9163 1.7797 2.7462
-0.5941 1.7797 2.3244
2.0528 1.7797 1.2150
4.0839 0.0000 2.3244
6.7308 0.0000 1.2150
```



Computed, not measured: an optimized crystal structure of YAs2Rh at the GGA-PBE level of DFT.

Output
DFT formation energy	-62.5	kJ per mole of atoms
space group	Cm, No. 8
electronic total energy	-25.7	eV per formula unit

Cell and atoms, written as POSCAR:
```
YAs2Rh
1.0
9.6038 0.0000 0.0000
0.0000 3.7788 0.0000
-1.5491 0.0000 4.3255
Y As Rh
2 4 2
Cartesian
0.0000 0.0000 0.0000
4.8019 1.8894 0.0000
1.1744 0.0000 3.0305
3.8303 0.0000 2.0567
5.9763 1.8894 3.0305
8.6321 1.8894 2.0567
2.0358 1.8894 1.5788
6.8377 0.0000 1.5788
```



Computed, not measured: an optimized crystal structure of YAs2Rh at the GGA-PBE level of DFT.

Output
DFT formation energy	-52.6	kJ per mole of atoms
space group	Fm-3m, No. 225
electronic total energy	-25.3	eV per formula unit

Cell and atoms, written as POSCAR:
```
YAs2Rh
1.0
6.6948 0.0000 0.0000
0.0000 6.6948 0.0000
0.0000 0.0000 6.6948
Y As Rh
4 8 4
Cartesian
0.0000 0.0000 0.0000
0.0000 3.3474 3.3474
3.3474 0.0000 3.3474
3.3474 3.3474 0.0000
1.6737 1.6737 1.6737
1.6737 1.6737 5.0211
1.6737 5.0211 1.6737
1.6737 5.0211 5.0211
5.0211 1.6737 1.6737
5.0211 1.6737 5.0211
5.0211 5.0211 1.6737
5.0211 5.0211 5.0211
0.0000 0.0000 3.3474
0.0000 3.3474 0.0000
3.3474 0.0000 0.0000
3.3474 3.3474 3.3474
```



Computed, not measured: an optimized crystal structure of YAsRh2 at the GGA-PBE level of DFT.

Output
DFT formation energy	-78.4	kJ per mole of atoms
space group	Cmcm, No. 63
electronic total energy	-29.1	eV per formula unit

Cell and atoms, written as POSCAR:
```
YAsRh2
1.0
2.0801 -7.9223 0.0000
2.0801 7.9223 0.0000
0.0000 0.0000 8.8150
Y As Rh
4 4 8
Cartesian
0.0000 0.0000 0.0000
0.0000 0.0000 4.4075
2.0801 4.8506 6.6113
2.0801 -4.8506 2.2038
2.0801 2.2300 0.2083
2.0801 2.2300 4.1992
2.0801 -2.2300 4.6158
2.0801 -2.2300 8.6067
2.0801 4.7472 0.7707
2.0801 4.7472 3.6368
2.0801 1.8396 6.6113
2.0801 0.8028 2.2038
2.0801 -0.8028 6.6113
2.0801 -1.8396 2.2038
2.0801 -4.7472 5.1782
2.0801 -4.7472 8.0443
```



Computed, not measured: an optimized crystal structure of Y2As4Rh5 at the GGA-PBE level of DFT.

Output
DFT formation energy	-68.2	kJ per mole of atoms
space group	Fmmm, No. 69
electronic total energy	-76.1	eV per formula unit

Cell and atoms, written as POSCAR:
```
Y2As4Rh5
1.0
0.0000 4.8492 7.4907
2.7633 0.0000 7.4907
2.7633 4.8492 0.0000
Y As Rh
2 4 5
Cartesian
2.7633 4.8492 1.9303
2.7633 4.8492 13.0512
2.7633 3.3327 5.5562
2.7633 3.3327 9.4252
2.7633 6.3657 5.5562
2.7633 6.3657 9.4252
1.3816 2.4246 0.0000
1.3816 2.4246 3.7454
1.3816 2.4246 7.4907
2.7633 4.8492 7.4907
4.1449 7.2738 11.2361
```



Computed, not measured: an optimized crystal structure of YAs2Rh at the GGA-PBE level of DFT.

Output
DFT formation energy	-80.8	kJ per mole of atoms
space group	P2/m, No. 10
electronic total energy	-26.5	eV per formula unit

Cell and atoms, written as POSCAR:
```
YAs2Rh
1.0
4.3365 0.0000 0.0000
0.0000 4.0716 0.0000
-0.8600 0.0000 4.6016
Y As Rh
1 2 1
Cartesian
0.0000 0.0000 0.0000
0.8158 2.0358 3.3988
2.6607 2.0358 1.2028
1.7383 0.0000 2.3008
```